{"formula": "ScInBr2", "functional": "meta-GGA SCAN", "state": "PBEsol geometry", "lattice": [[1.8056, 1.0424, 9.0633], [-1.8056, 1.0424, 9.0633], [0.0000, -2.0849, 9.0633]], "species": ["Sc", "In", "Br", "Br"], "frac_coords": [[0.0000, 0.0000, 0.0000], [0.2507, 0.2507, 0.2507], [0.5112, 0.5112, 0.5112], [0.7281, 0.7281, 0.7281]], "spacegroup": "R3m, No. 160", "formation_energy_uncorrected_ev_per_fu": -3.8, "magnetic_moment_mub_per_fu": 0.9, "polymorph_energy_mev_per_atom": 0.0}



{"formula": "CoPd2F", "functional": "meta-GGA SCAN", "state": "PBEsol geometry", "lattice": [[0.0000, 2.9283, 2.9283], [2.9283, 0.0000, 2.9283], [2.9283, 2.9283, 0.0000]], "species": ["Co", "Pd", "Pd", "F"], "frac_coords": [[0.0000, 0.0000, 0.0000], [0.2500, 0.2500, 0.2500], [0.7500, 0.7500, 0.7500], [0.5000, 0.5000, 0.5000]], "spacegroup": "Fm-3m, No. 225", "formation_energy_uncorrected_ev_per_fu": -0.5, "magnetic_moment_mub_per_fu": 3.2}



{"formula": "MgZn2Co", "functional": "meta-GGA SCAN", "state": "PBEsol geometry", "lattice": [[-1.5324, 2.0826, 4.2455], [1.5324, -2.0826, 4.2455], [1.5324, 2.0826, -4.2455]], "species": ["Mg", "Zn", "Zn", "Co"], "frac_coords": [[0.0000, 0.0000, 0.0000], [0.2722, 0.7722, 0.5000], [0.7278, 0.2278, 0.5000], [0.5000, 0.5000, 0.0000]], "spacegroup": "Immm, No. 71", "formation_enthalpy_0k_mev_per_atom": 4, "magnetic_moment_mub_per_fu": 0.2}